1.
A geometry-optimized RbTbAgCl6 structure, computed with PBE.

The space group is P1 (No. 1) and the conventional cell measures 6.802, 6.812 and 7.349 Å, with angles of 92.05, 92.24 and 115.60 degrees. The inequivalent atoms are Rb at (0.000, 0.000, 0.000), Tb at (0.335, 0.666, 0.501), Ag at (0.680, 0.320, 0.500), Cl at (0.017, 0.355, 0.681), Cl at (0.032, 0.626, 0.260), Cl at (0.378, 0.967, 0.744), Cl at (0.400, 0.360, 0.294), Cl at (0.641, 0.598, 0.708) and Cl at (0.644, 0.984, 0.320).

2.
A geometry-optimized Rb2TbAgCl6 structure, computed with PBE.

The space group is P2_1/c (No. 14) and the conventional cell measures 7.529, 7.716 and 12.924 Å, with angles of 90.00, 125.38 and 90.00 degrees. The inequivalent atoms are Rb at (0.236, 0.053, 0.249), Tb at (0.500, 0.000, 0.000), Ag at (0.000, 0.000, 0.500), Cl at (0.180, 0.200, 0.963), Cl at (0.265, 0.719, 0.964) and Cl at (0.324, 0.014, 0.752).

The calculation puts the energy above the most stable polymorph in this dataset at 0 meV per atom.

Formation energy (no corrections) for the records above, in order: -1.573; -1.826 eV/atom